# 1
Nb2TcSb (PBE-GGA, optimized geometry); size of the total moment = 0.02 μB/atom; crystal system = cubic; uncorrected energy = -8.665 eV per atom
1.0
-0.136 -4.054 -2.251
-2.642 -0.464 -3.785
1.981 -0.402 -4.176
Sb Tc Nb
1 1 2
direct
0.500 0.500 0.500
0.250 0.250 0.250
0.000 0.000 0.000
0.750 0.750 0.750

---

# 2
NbTcSb (PBE-GGA, optimized geometry); size of the total moment = 0.01 μB/atom; crystal system = cubic; uncorrected energy = -8.252 eV per atom
1.0
-2.414 -2.969 2.220
-2.344 1.254 3.536
-4.417 0.138 -0.209
Nb Sb Tc
1 1 1
direct
0.500 0.500 0.500
0.000 0.000 0.000
0.250 0.250 0.250

---

# 3
NbTcSb2 (PBE-GGA, optimized geometry); size of the total moment = 0.00 μB/atom; crystal system = cubic; uncorrected energy = -6.764 eV per atom
1.0
2.890 -1.523 3.525
2.432 3.182 2.656
-1.220 0.729 4.591
Tc Sb Nb
1 2 1
direct
0.000 0.000 0.000
0.500 0.500 0.500
0.750 0.750 0.750
0.250 0.250 0.250

---

# 4
NbTc2Sb (PBE-GGA, optimized geometry); size of the total moment = 0.27 μB/atom; crystal system = cubic; uncorrected energy = -8.502 eV per atom
1.0
0.000 3.229 3.229
3.229 0.000 3.229
3.229 3.229 0.000
Sb Tc Nb
1 2 1
direct
0.500 0.500 0.500
0.750 0.750 0.750
0.000 0.000 0.000
0.250 0.250 0.250

---

# 5
NbSbTe (PBE-GGA, optimized geometry); size of the total moment = 0.00 μB/atom; crystal system = cubic; uncorrected energy = -5.082 eV per atom
1.0
0.000 3.426 3.426
3.426 0.000 3.426
3.426 3.426 0.000
Sb Te Nb
1 1 1
direct
0.750 0.750 0.750
0.000 0.000 0.000
0.250 0.250 0.250

---

# 6
NbSbTe (PBE-GGA, optimized geometry); size of the total moment = 0.42 μB/atom; crystal system = cubic; uncorrected energy = -5.648 eV per atom
1.0
0.000 3.424 3.424
3.424 0.000 3.424
3.424 3.424 0.000
Te Nb Sb
1 1 1
direct
0.750 0.750 0.750
0.000 0.000 0.000
0.250 0.250 0.250